1.
# GaCu2Ni2

An optimized crystal structure of GaCu2Ni2 (GGA-PBE, the Alexandria database).

The structure in extended XYZ format:
```
10
Lattice="3.292 0.000 0.000 0.000 3.292 0.000 0.000 0.000 12.133" Properties=species:S:1:pos:R:3 pbc="T T T"
Ga 0.000 0.000 0.000
Ga 1.646 1.646 6.066
Cu 0.000 1.646 3.033
Cu 0.000 1.646 9.099
Cu 1.646 0.000 3.033
Cu 1.646 0.000 9.099
Ni 0.000 0.000 4.889
Ni 0.000 0.000 7.244
Ni 1.646 1.646 1.177
Ni 1.646 1.646 10.955
```

DFT formation energy (eV per formula unit): 0.752
ρ (g cm⁻³): 7.9
Magnetization (μB per cell): 0.00
Energy (eV per cell): -44.1



2.
# CaTm3Hg6

An optimized crystal structure of CaTm3Hg6 (GGA-PBE, the Alexandria database).

The structure in extended XYZ format:
```
20
Lattice="9.113 0.000 0.000 0.000 5.138 0.000 -3.093 0.000 10.593" Properties=species:S:1:pos:R:3 pbc="T T T"
Ca -0.679 1.284 4.147
Ca 6.699 3.853 6.446
Tm 2.100 1.284 0.070
Tm 0.749 3.853 8.507
Tm 2.437 1.284 6.474
Tm 3.582 3.853 4.119
Tm 5.270 1.284 2.086
Tm 3.920 3.853 10.523
Hg -2.207 3.853 9.570
Hg 0.650 3.853 2.195
Hg -0.596 1.284 7.402
Hg 0.768 3.853 5.458
Hg 2.315 1.284 3.161
Hg 3.891 3.853 0.980
Hg 2.128 1.284 9.613
Hg 3.705 3.853 7.432
Hg 5.251 1.284 5.135
Hg 6.615 3.853 3.191
Hg 5.369 1.284 8.398
Hg 8.226 1.284 1.023
```

DFT formation energy (eV per formula unit): -4.224
ρ (g cm⁻³): 11.7
Magnetization (μB per cell): 0.00
Energy (eV per cell): -42.9



3.
# Th5Np3As8

An optimized crystal structure of Th5Np3As8 (GGA-PBE, the Alexandria database).

The structure in extended XYZ format:
```
16
Lattice="4.214 2.433 6.860 -4.214 2.433 6.860 0.000 -4.866 6.860" Properties=species:S:1:pos:R:3 pbc="T T T"
Th 0.000 0.000 0.000
Th -2.107 -1.216 6.860
Th -2.107 1.216 13.720
Th 0.000 2.433 6.860
Th 0.000 0.000 10.290
Np -4.214 0.000 10.290
Np -2.107 1.216 3.430
Np 2.107 1.216 3.430
As -2.132 -1.231 11.963
As 0.000 0.000 5.080
As 0.000 -2.462 8.617
As -2.132 1.231 8.617
As 2.132 -1.231 11.963
As 0.000 2.462 11.963
As 0.000 0.000 15.500
As 2.132 1.231 8.617
```

DFT formation energy (eV per formula unit): -18.119
ρ (g cm⁻³): 9.7
Magnetization (μB per cell): 12.65
Energy (eV per cell): -131.2



4.
# La2SmGe3Pt12

An optimized crystal structure of La2SmGe3Pt12 (GGA-PBE, the Alexandria database).

The structure in extended XYZ format:
```
18
Lattice="4.227 2.440 6.171 -4.227 2.440 6.171 0.000 -4.880 6.171" Properties=species:S:1:pos:R:3 pbc="T T T"
La 0.000 0.000 1.835
La 0.000 0.000 16.678
Sm 0.000 0.000 9.256
Ge -2.113 -1.220 6.171
Ge -2.113 1.220 12.342
Ge 0.000 2.440 6.171
Pt -2.337 -1.349 8.642
Pt 0.000 -2.205 5.419
Pt -1.910 1.103 5.419
Pt 0.000 -2.698 9.871
Pt -2.337 1.349 9.871
Pt -1.910 -1.103 13.093
Pt 1.910 1.103 5.419
Pt 2.337 -1.349 8.642
Pt 0.000 2.698 8.642
Pt 1.910 -1.103 13.093
Pt 0.000 2.205 13.093
Pt 2.337 1.349 9.871
```

DFT formation energy (eV per formula unit): -7.452
ρ (g cm⁻³): 13.0
Magnetization (μB per cell): 0.00
Energy (eV per cell): -108.4



5.
# BaLi2Mg

An optimized crystal structure of BaLi2Mg (GGA-PBE, the Alexandria database).

The structure in extended XYZ format:
```
8
Lattice="8.840 0.000 0.000 0.000 5.119 0.000 -2.977 0.000 6.021" Properties=species:S:1:pos:R:3 pbc="T T T"
Ba 0.000 0.000 0.000
Ba 4.420 2.560 0.000
Li 1.454 2.560 2.480
Li 2.926 0.000 2.991
Li 5.874 0.000 2.480
Li 7.346 2.560 2.991
Mg -0.022 0.000 3.629
Mg 4.398 2.560 3.629
```

DFT formation energy (eV per formula unit): 0.111
ρ (g cm⁻³): 2.1
Magnetization (μB per cell): 0.00
Energy (eV per cell): -14.5



Please write out number 5 again, unchanged.
# BaLi2Mg

An optimized crystal structure of BaLi2Mg (GGA-PBE, the Alexandria database).

The structure in extended XYZ format:
```
8
Lattice="8.840 0.000 0.000 0.000 5.119 0.000 -2.977 0.000 6.021" Properties=species:S:1:pos:R:3 pbc="T T T"
Ba 0.000 0.000 0.000
Ba 4.420 2.560 0.000
Li 1.454 2.560 2.480
Li 2.926 0.000 2.991
Li 5.874 0.000 2.480
Li 7.346 2.560 2.991
Mg -0.022 0.000 3.629
Mg 4.398 2.560 3.629
```

DFT formation energy (eV per formula unit): 0.111
ρ (g cm⁻³): 2.1
Magnetization (μB per cell): 0.00
Energy (eV per cell): -14.5